[1]
Computed, not measured: a geometry-optimized DyTcBi structure at the PBE level of DFT.

Properties
The value obtained for the volume is 24.5 Å³ per atom. The total magnetic moment comes out at 0.0000 μB per atom. Its energy of formation is -195 meV per atom.

a = 4.6676 Å, b = 4.1136 Å, c = 7.7030 Å
α = 90.00°, β = 96.13°, γ = 90.00°
With the nearest neighbours (Å) after each atom.
Space group P2_1/m (No. 11)
Symmetry-distinct sites (fractional):
Dy1 0.2118 0.2500 0.3296 [2 per cell]  1 Tc 2.87, 4 Bi 3.16-3.19
Tc1 0.1475 0.7500 0.9977 [2 per cell]  2 Tc 2.48
Bi1 0.3062 0.2500 0.7516 [2 per cell]  4 Tc 2.95-3.03, 5 Dy 3.16-3.23

[2]
Computed, not measured: a geometry-optimized Dy8Tc2Bi structure at the PBE level of DFT.

Properties
The value obtained for the volume is 28.1 Å³ per atom. The total magnetic moment comes out at 0.0000 μB per atom. Its energy of formation is -168 meV per atom.

a = 15.3884 Å, b = 6.5216 Å, c = 6.1753 Å
α = 90.00°, β = 93.14°, γ = 90.00°
With the nearest neighbours (Å) after each atom.
Space group C2/m (No. 12)
Symmetry-distinct sites (fractional):
Dy1 0.0790 0.0000 0.3468 [4 per cell]  1 Tc 2.63
Dy2 0.1215 0.2518 0.8818 [8 per cell]  2 Tc 2.84-2.85
Dy3 0.2081 0.5000 0.3722 [4 per cell]  1 Tc 2.99, 1 Bi 3.34
Tc1 0.2289 0.0000 0.1616 [4 per cell]  5 Dy 2.63-2.85
Bi1 0.0000 0.5000 0.5000 [2 per cell]  10 Dy 3.34-3.62

| no. | DOS at the Fermi energy (states/eV/atom) | uncorrected energy (eV/atom) |
| --- | --- | --- |
| 1 | 0.527 | -6.478 |
| 2 | 0.639 | -5.752 |